Density functional theory data (PBE) for CeNdGeTe after structural relaxation.

abc: 7.693 7.693 7.693
angles: 32.98 32.98 32.98
Element x y z (fractional)
Ce 0.000 0.000 0.000
Nd 0.516 0.516 0.516
Ge 0.260 0.260 0.260
Te 0.757 0.757 0.757

Space group   R3m, No. 160
Uncorrected formation energy   -4.614 eV per formula unit
Theoretical density   6.7 g/cm3
E   -5.769 eV per atom

=====

Density functional theory data (PBE) for MoPPdRu2 after structural relaxation.

abc: 4.615 4.615 4.803
angles: 90.00 90.00 90.00
Element x y z (fractional)
Mo 0.000 0.000 0.000
P 0.500 0.500 0.500
Pd 0.000 0.000 0.500
Ru 0.000 0.500 0.000
Ru 0.500 0.000 0.000

Space group   P4/mmm, No. 123
Theoretical density   7.1 g/cm3
E   -6.347 eV per atom
DFT formation energy   8.3 eV/f.u.

=====

Density functional theory data (PBE) for BiPW3 after structural relaxation.

abc: 4.571 4.571 4.571
angles: 90.00 90.00 90.00
Element x y z (fractional)
Bi 0.000 0.000 0.000
P 0.500 0.500 0.500
W 0.000 0.500 0.500
W 0.500 0.000 0.500
W 0.500 0.500 0.000

Space group   Pm-3m, No. 221
Polymorph energy (0 for the lowest one)   0.000 eV/atom
Theoretical density   13.8 g/cm3
E   -8.596 eV per atom
DFT formation energy   5.2 eV/f.u.

=====

Density functional theory data (PBE) for BaLa2Sm after structural relaxation.

abc: 5.390 5.390 5.457
angles: 90.00 90.00 90.00
Element x y z (fractional)
Ba 0.000 0.000 0.000
La 0.000 0.500 0.500
La 0.500 0.000 0.500
Sm 0.500 0.500 0.000

Space group   P4/mmm, No. 123
Polymorph energy (0 for the lowest one)   0.085 eV/atom
Theoretical density   5.9 g/cm3
E   -3.944 eV per atom
DFT formation energy   0.7 eV/f.u.

=====

Density functional theory data (PBE) for InSbRh2 after structural relaxation.

abc: 5.145 5.145 4.482
angles: 101.79 101.79 38.03
Element x y z (fractional)
In 0.000 0.000 0.000
Sb 0.757 0.757 0.398
Rh 0.265 0.265 0.904
Rh 0.486 0.486 0.495

Space group   Cm, No. 8
Uncorrected formation energy   -1.306 eV per formula unit
Theoretical density   10.3 g/cm3
E   -5.718 eV per atom

=====

Density functional theory data (PBE) for Pm2NpTcN5 after structural relaxation.

abc: 7.070 7.070 10.438
angles: 90.00 90.00 151.56
Element x y z (fractional)
Pm 0.106 0.894 0.500
Pm 0.138 0.862 0.122
Pm 0.862 0.138 0.622
Pm 0.894 0.106 0.000
Np 0.208 0.792 0.827
Np 0.792 0.208 0.327
Tc 0.476 0.524 0.274
Tc 0.524 0.476 0.774
N 0.043 0.957 0.856
N 0.282 0.718 0.463
N 0.320 0.680 0.199
N 0.367 0.633 0.814
N 0.490 0.510 0.597
N 0.510 0.490 0.097
N 0.633 0.367 0.314
N 0.680 0.320 0.699
N 0.718 0.282 0.963
N 0.957 0.043 0.356

Space group   Cmc2_1, No. 36
Uncorrected formation energy   -8.836 eV per formula unit
Theoretical density   9.3 g/cm3
E   -9.252 eV per atom